# ZnCrGa2Te6 | Alexandria | PBE-GGA | optimized geometry
data_ZnCrGa2Te6
_cell_length_a 9.0686
_cell_length_b 9.0686
_cell_length_c 7.2468
_cell_angle_alpha 99.46
_cell_angle_beta 99.46
_cell_angle_gamma 86.86
_symmetry_space_group_name_H-M 'P 1'
_symmetry_Int_Tables_number 1
_symmetry_space_group_name_Hall 'P 1'
loop_
_atom_site_label
_atom_site_type_symbol
_atom_site_fract_x
_atom_site_fract_y
_atom_site_fract_z
Zn1 Zn 0.2467 0.7533 0.7500
Zn2 Zn 0.7533 0.2467 0.2500
Cr1 Cr 0.0870 0.9130 0.2500
Cr2 Cr 0.9130 0.0870 0.7500
Ga1 Ga 0.2250 0.4118 0.1968
Ga2 Ga 0.4118 0.2250 0.6968
Ga3 Ga 0.5882 0.7750 0.3032
Ga4 Ga 0.7750 0.5882 0.8032
Te1 Te 0.0288 0.1873 0.1185
Te2 Te 0.0912 0.6440 0.3796
Te3 Te 0.1873 0.0288 0.6185
Te4 Te 0.3025 0.4738 0.8821
Te5 Te 0.3560 0.9088 0.1204
Te6 Te 0.4738 0.3025 0.3821
Te7 Te 0.5262 0.6975 0.6179
Te8 Te 0.6440 0.0912 0.8796
Te9 Te 0.6975 0.5262 0.1179
Te10 Te 0.8127 0.9712 0.3815
Te11 Te 0.9088 0.3560 0.6204
Te12 Te 0.9712 0.8127 0.8815
# ΔE_f (raw) ... -1.9 eV per formula unit
# Crystal system ... monoclinic
# DFT total energy ... -75.443 eV for the cell shown

# Th4CrGa12 | Alexandria | PBE-GGA | optimized geometry
data_Th4CrGa12
_cell_length_a 7.6721
_cell_length_b 7.6721
_cell_length_c 7.6721
_cell_angle_alpha 109.47
_cell_angle_beta 109.47
_cell_angle_gamma 109.47
_symmetry_space_group_name_H-M 'P 1'
_symmetry_Int_Tables_number 1
_symmetry_space_group_name_Hall 'P 1'
loop_
_atom_site_label
_atom_site_type_symbol
_atom_site_fract_x
_atom_site_fract_y
_atom_site_fract_z
Th1 Th 0.0000 0.0000 0.5000
Th2 Th 0.0000 0.5000 0.0000
Th3 Th 0.5000 0.0000 0.0000
Th4 Th 0.5000 0.5000 0.5000
Cr1 Cr 0.0000 0.0000 0.0000
Ga1 Ga 0.0000 0.2938 0.2938
Ga2 Ga 0.0000 0.7062 0.7062
Ga3 Ga 0.2500 0.5000 0.7500
Ga4 Ga 0.2500 0.7500 0.5000
Ga5 Ga 0.2938 0.0000 0.2938
Ga6 Ga 0.2938 0.2938 0.0000
Ga7 Ga 0.5000 0.2500 0.7500
Ga8 Ga 0.5000 0.7500 0.2500
Ga9 Ga 0.7062 0.0000 0.7062
Ga10 Ga 0.7062 0.7062 0.0000
Ga11 Ga 0.7500 0.2500 0.5000
Ga12 Ga 0.7500 0.5000 0.2500
# Crystal system ... cubic
# DFT total energy ... -83.729 eV for the cell shown
# Energy relative to the elements ... -0.48 eV per atom

# Ti6CrGa10 | Alexandria | PBE-GGA | optimized geometry
data_Ti6CrGa10
_cell_length_a 7.7214
_cell_length_b 7.7214
_cell_length_c 5.3392
_cell_angle_alpha 90.00
_cell_angle_beta 90.00
_cell_angle_gamma 120.00
_symmetry_space_group_name_H-M 'P 1'
_symmetry_Int_Tables_number 1
_symmetry_space_group_name_Hall 'P 1'
loop_
_atom_site_label
_atom_site_type_symbol
_atom_site_fract_x
_atom_site_fract_y
_atom_site_fract_z
Ti1 Ti 0.0000 0.3843 0.2162
Ti2 Ti 0.0000 0.6157 0.7838
Ti3 Ti 0.3843 0.0000 0.2162
Ti4 Ti 0.3843 0.3843 0.7838
Ti5 Ti 0.6157 0.0000 0.7838
Ti6 Ti 0.6157 0.6157 0.2162
Cr1 Cr 0.0000 0.0000 0.0000
Ga1 Ga 0.0000 0.2539 0.6990
Ga2 Ga 0.0000 0.7461 0.3010
Ga3 Ga 0.2539 0.0000 0.6990
Ga4 Ga 0.2539 0.2539 0.3010
Ga5 Ga 0.3333 0.6667 0.0000
Ga6 Ga 0.3333 0.6667 0.5000
Ga7 Ga 0.6667 0.3333 0.0000
Ga8 Ga 0.6667 0.3333 0.5000
Ga9 Ga 0.7461 0.0000 0.3010
Ga10 Ga 0.7461 0.7461 0.6990
# Crystal system ... trigonal
# DFT total energy ... -91.330 eV for the cell shown
# Energy relative to the elements ... -0.24 eV per atom